(1)
## Y2Ag (GGA-PBE)

Data for crystalline Y2Ag at its relaxed geometry.

Values from the calculation:
Theoretical density = 5.57 g cm⁻³
DOS at the Fermi energy = 14.6 states/eV/cell
Energy of formation from the pure elements = -0.79 kcal/mol of atoms

Lattice parameters (Å, degrees): 3.5540 3.5540 26.9494 90.00 90.00 90.00
Closest atoms and distances in Å follow each position.
Space group I4_1/amd (No. 141, origin choice 2)
One atom of each set of equivalent atoms:
Y (0.0000, 0.2500, 0.3067) [8 per cell]  4 Ag 3.12
Ag (0.0000, 0.2500, 0.8750) [4 per cell]  8 Y 3.12

(2)
## Y3Ag5 (GGA-PBE)

Data for crystalline Y3Ag5 at its relaxed geometry.

Values from the calculation:
Theoretical density = 7.31 g cm⁻³
DOS at the Fermi energy = 12.3 states/eV/cell
Energy of formation from the pure elements = -5.26 kcal/mol of atoms
Polymorph energy (0 for the lowest one) = 0.24 eV/f.u.

Lattice parameters (Å, degrees): 7.3126 10.0054 5.0038 90.00 90.00 90.00
Closest atoms and distances in Å follow each position.
Space group Cmmm (No. 65)
One atom of each set of equivalent atoms:
Y (0.0000, 0.0000, 0.0000) [2 per cell]  8 Ag 2.96-3.10
Y (0.0000, 0.2799, 0.5000) [4 per cell]  10 Ag 3.03-3.33
Ag (0.0000, 0.5000, 0.0000) [2 per cell]  8 Ag 3.10-3.25, 4 Y 3.33
Ag (0.2161, 0.0000, 0.5000) [4 per cell]  6 Y 2.96-3.22, 3 Ag 3.16-3.25
Ag (0.2500, 0.2500, 0.0000) [4 per cell]  2 Ag 3.10, 6 Y 3.10-3.11

(3)
## Y2Ag (GGA-PBE)

Data for crystalline Y2Ag at its relaxed geometry.

Values from the calculation:
Theoretical density = 5.93 g cm⁻³
DOS at the Fermi energy = 6.4 states/eV/cell
Energy of formation from the pure elements = -2.95 kcal/mol of atoms

Lattice parameters (Å, degrees): 5.1732 5.1732 6.9066 90.00 90.00 120.00
Closest atoms and distances in Å follow each position.
Space group P6_3/mmc (No. 194)
One atom of each set of equivalent atoms:
Y (0.0000, 0.0000, 0.0000) [2 per cell]  8 Y 3.45, 6 Ag 3.45
Y (0.3333, 0.6667, 0.2500) [2 per cell]  3 Ag 2.99
Ag (0.3333, 0.6667, 0.7500) [2 per cell]  3 Y 2.99

(4)
## Y5Ag6 (GGA-PBE)

Data for crystalline Y5Ag6 at its relaxed geometry.

Values from the calculation:
Theoretical density = 6.41 g cm⁻³
DOS at the Fermi energy = 19.3 states/eV/cell
Energy of formation from the pure elements = -4.14 kcal/mol of atoms

Lattice parameters (Å, degrees): 5.0266 7.3964 15.2207 90.00 90.00 90.00
Closest atoms and distances in Å follow each position.
Space group Immm (No. 71)
One atom of each set of equivalent atoms:
Y (0.0000, 0.0000, 0.0000) [2 per cell]  8 Ag 3.02-3.18
Y (0.0000, 0.0000, 0.3488) [4 per cell]  8 Ag 3.06-3.20
Y (0.0000, 0.5000, 0.3284) [4 per cell]  8 Ag 3.05-3.10
Ag (0.0000, 0.2372, 0.1742) [8 per cell]  7 Y 3.05-3.20
Ag (0.0000, 0.2733, 0.5000) [4 per cell]  6 Y 3.02-3.10, 1 Ag 3.35

(5)
## Y2Ag (GGA-PBE)

Data for crystalline Y2Ag at its relaxed geometry.

Values from the calculation:
Theoretical density = 5.50 g cm⁻³
DOS at the Fermi energy = 20.2 states/eV/cell
Energy of formation from the pure elements = 11.16 kcal/mol of atoms

Lattice parameters (Å, degrees): 8.8379 8.8379 8.8379 90.00 90.00 90.00
Closest atoms and distances in Å follow each position.
Space group Fd-3m (No. 227, origin choice 2)
One atom of each set of equivalent atoms:
Y (0.0000, 0.0000, 0.0000) [16 per cell]  6 Y 3.12
Ag (0.1250, 0.1250, 0.6250) [8 per cell]  12 Y 3.66, 4 Ag 3.83

(6)
## Y3Ag8 (GGA-PBE)

Data for crystalline Y3Ag8 at its relaxed geometry.

Values from the calculation:
Theoretical density = 8.11 g cm⁻³
DOS at the Fermi energy = 11.1 states/eV/cell
Energy of formation from the pure elements = -5.19 kcal/mol of atoms

Lattice parameters (Å, degrees): 9.7427 4.1829 11.7356 90.00 104.71 90.00
Closest atoms and distances in Å follow each position.
Space group C2/m (No. 12)
One atom of each set of equivalent atoms:
Y (0.0000, 0.0000, 0.0000) [2 per cell]  12 Ag 3.04-3.13
Y (0.1077, 0.0000, 0.6452) [4 per cell]  11 Ag 3.05-3.14
Ag (0.0562, 0.5000, 0.8248) [4 per cell]  7 Ag 2.96-3.20, 4 Y 3.08-3.10
Ag (0.1332, 0.5000, 0.4569) [4 per cell]  7 Ag 3.02-3.35, 5 Y 3.06-3.14
Ag (0.1621, 0.0000, 0.2673) [4 per cell]  7 Ag 2.98-3.20, 4 Y 3.05-3.13
Ag (0.2267, 0.5000, 0.0929) [4 per cell]  8 Ag 2.96-3.16, 4 Y 3.04-3.12

(7)
## Y14Ag51 (GGA-PBE)

Data for crystalline Y14Ag51 at its relaxed geometry.

Values from the calculation:
Theoretical density = 8.42 g cm⁻³
DOS at the Fermi energy = 28.1 states/eV/cell
Energy of formation from the pure elements = -5.44 kcal/mol of atoms

Lattice parameters (Å, degrees): 12.8094 12.8094 9.3612 90.00 90.00 120.00
Closest atoms and distances in Å follow each position.
Space group P-6 (No. 174)
One atom of each set of equivalent atoms:
Y (0.0000, 0.0000, 0.1933) [2 per cell]  15 Ag 3.07-3.31
Y (0.1151, 0.3831, 0.5000) [3 per cell]  14 Ag 3.11-3.40
Y (0.1409, 0.6714, 0.0000) [3 per cell]  14 Ag 3.10-3.32
Y (0.3989, 0.2853, 0.5000) [3 per cell]  12 Ag 3.02-3.26
Y (0.4641, 0.1394, 0.0000) [3 per cell]  14 Ag 3.10-3.44
Ag (0.0570, 0.2344, 0.0000) [3 per cell]  8 Ag 2.73-2.95
Ag (0.0768, 0.8043, 0.2580) [6 per cell]  8 Ag 2.80-3.06, 1 Y 3.11
Ag (0.1028, 0.4370, 0.1655) [6 per cell]  7 Ag 2.81-3.10, 2 Y 3.10-3.12
Ag (0.1155, 0.6172, 0.3484) [6 per cell]  7 Ag 2.81-3.04
Ag (0.1282, 0.1243, 0.5000) [3 per cell]  6 Ag 2.80-2.98, 1 Y 3.02
Ag (0.2402, 0.1805, 0.0000) [3 per cell]  8 Ag 2.73-2.97
Ag (0.2605, 0.0743, 0.2729) [6 per cell]  7 Ag 2.80-3.06, 1 Y 3.07
Ag (0.3333, 0.6667, 0.1957) [2 per cell]  7 Ag 2.85-2.96, 3 Y 3.10
Ag (0.3333, 0.6667, 0.5000) [1 per cell]  8 Ag 2.85-2.90
Ag (0.4431, 0.3395, 0.1652) [6 per cell]  6 Ag 2.83-3.09, 2 Y 3.12
Ag (0.4901, 0.1162, 0.3473) [6 per cell]  7 Ag 2.80-3.04
Ag (0.6667, 0.3333, 0.1952) [2 per cell]  7 Ag 2.85-2.93, 3 Y 3.13
Ag (0.6667, 0.3333, 0.5000) [1 per cell]  8 Ag 2.85-2.93, 3 Y 3.17

(8)
## Y7Ag6 (GGA-PBE)

Data for crystalline Y7Ag6 at its relaxed geometry.

Values from the calculation:
Theoretical density = 5.96 g cm⁻³
DOS at the Fermi energy = 33.2 states/eV/cell
Energy of formation from the pure elements = 5.89 kcal/mol of atoms

Lattice parameters (Å, degrees): 6.5246 6.5246 28.8032 90.00 90.00 120.00
Closest atoms and distances in Å follow each position.
Space group R-3m (No. 166, hexagonal axes)
One atom of each set of equivalent atoms:
Y (0.0000, 0.0000, 0.0000) [3 per cell]  6 Y 3.11
Y (0.0074, 0.5037, 0.4182) [18 per cell]  2 Ag 3.02, 5 Y 3.11-3.33
Ag (0.0000, 0.0000, 0.1655) [6 per cell]  6 Y 3.02
Ag (0.0000, 0.0000, 0.3478) [6 per cell]  1 Ag 2.94
Ag (0.0000, 0.0000, 0.4498) [6 per cell]  2 Ag 2.89-2.94